Material: SmSe
Method: DFT, GGA-PBE
State: optimized geometry

Unit cell a=4.164 b=4.164 c=4.164 alpha=120.64 beta=119.36 gamma=90.00
Fractional coordinates of all 2 atoms:
Sm (0.000, 0.000, 0.000)
Se (0.500, 0.500, 0.000)

Computed properties:
* SG: No. 71
* magnetization: 0.0 Bohr magnetons per cell
* E: -11.84 eV/cell